A | This record from Alexandria via LeMat-Bulk describes crystalline CsAu2I2 at its relaxed geometry. The functional is GGA-PBE.

- Volume: 34.08 Å³/atom
- Space-group type: I4/mmm, No. 139
- Magnetic moment: 0.0 μB per formula unit

Cell lengths 4.1765, 4.1765, 10.2049 Å; angles 78.19, 78.19, 90.00 degrees
Last column: nearest neighbours and their distance in Å.
Fractional positions:
Cs 0.0000 0.0000 0.0000  8 I 3.82, 4 Cs 4.18
I 0.3759 0.3759 0.2482  4 Au 3.23
I 0.6241 0.6241 0.7518  4 Au 3.23
Au 0.7500 0.2500 0.5000  4 Au 2.95, 4 I 3.23
Au 0.2500 0.7500 0.5000  4 Au 2.95, 4 I 3.23

---

B | This record from Alexandria via LeMat-Bulk describes crystalline CsAu2I2 at its relaxed geometry. The functional is GGA-PBE.

- Volume: 40.55 Å³/atom
- Space-group type: P4/mbm, No. 127
- Magnetic moment: 0.0 μB per formula unit

Cell lengths 9.2585, 9.2585, 4.7309 Å; angles 90.00, 90.00, 90.00 degrees
Last column: nearest neighbours and their distance in Å.
Fractional positions:
Cs 0.0000 0.0000 0.0000  4 Au 3.80, 8 I 4.07
Cs 0.5000 0.5000 0.0000  4 Au 3.80, 8 I 4.07
I 0.2880 0.7880 0.5000  2 Au 2.76
I 0.7880 0.7120 0.5000  2 Au 2.76
I 0.7120 0.2120 0.5000  2 Au 2.76
I 0.2120 0.2880 0.5000  2 Au 2.76
Au 0.3973 0.8973 0.0000  1 Au 2.69, 2 I 2.76
Au 0.8973 0.6027 0.0000  1 Au 2.69, 2 I 2.76
Au 0.6027 0.1027 0.0000  1 Au 2.69, 2 I 2.76
Au 0.1027 0.3973 0.0000  1 Au 2.69, 2 I 2.76

---

Last place for stability: A

---

A | This record from Alexandria via LeMat-Bulk describes crystalline Cs3AuI at its relaxed geometry. The functional is GGA-PBE.

- Volume: 72.46 Å³/atom
- Space-group type: P2_1/m, No. 11
- Magnetic moment: 0.0 μB per formula unit

Cell lengths 5.3868, 9.5886, 14.4253 Å; angles 103.45, 90.00, 90.00 degrees
Last column: nearest neighbours and their distance in Å.
Fractional positions:
Cs 0.7500 0.0682 0.6648  1 Au 3.50, 3 I 3.91
Cs 0.7500 0.5526 0.6704  1 Au 3.54, 3 I 3.92-3.94
Cs 0.2500 0.9318 0.3352  1 Au 3.50, 3 I 3.91
Cs 0.2500 0.4474 0.3296  1 Au 3.54, 3 I 3.92-3.94
Cs 0.2500 0.7686 0.9814  3 Au 3.63-3.70
Cs 0.7500 0.2314 0.0186  3 Au 3.63-3.70
Au 0.2500 0.1201 0.1542  5 Cs 3.50-3.70
Au 0.7500 0.8799 0.8458  5 Cs 3.50-3.70
I 0.2500 0.2690 0.5481  6 Cs 3.91-3.94
I 0.7500 0.7310 0.4519  6 Cs 3.91-3.94

---

B | This record from Alexandria via LeMat-Bulk describes crystalline Cs3AuI at its relaxed geometry. The functional is GGA-PBE.

- Volume: 65.68 Å³/atom
- Space-group type: Pm-3m, No. 221
- Magnetic moment: 0.0 μB per formula unit

Cell lengths 6.8994, 6.8994, 6.8994 Å; angles 90.00, 90.00, 90.00 degrees
Last column: nearest neighbours and their distance in Å.
Fractional positions:
Cs 0.0000 0.5000 0.0000  2 Au 3.45
Cs 0.0000 0.0000 0.5000  2 Au 3.45
Cs 0.5000 0.0000 0.0000  2 Au 3.45
I 0.5000 0.5000 0.5000  12 Cs 4.88
Au 0.0000 0.0000 0.0000  6 Cs 3.45

---

Last place for stability: B

---

A | This record from Alexandria via LeMat-Bulk describes crystalline CsAuI2 at its relaxed geometry. The functional is GGA-PBE.

- Volume: 70.31 Å³/atom
- Space-group type: R-3m, No. 166
- Magnetic moment: 0.0 μB per formula unit

Cell lengths 6.4030, 6.4030, 8.7407 Å; angles 68.51, 68.51, 60.00 degrees
Last column: nearest neighbours and their distance in Å.
Fractional positions:
Cs 0.5000 0.5000 0.5000  6 I 3.95
I 0.1085 0.1085 0.6746  1 Au 2.58
I 0.8915 0.8915 0.3254  1 Au 2.58
Au 0.0000 0.0000 0.0000  2 I 2.58

---

B | This record from Alexandria via LeMat-Bulk describes crystalline CsAuI2 at its relaxed geometry. The functional is GGA-PBE.

- Volume: 60.13 Å³/atom
- Space-group type: C2/m, No. 12
- Magnetic moment: 0.0 μB per formula unit

Cell lengths 6.9166, 7.5992, 10.4015 Å; angles 82.15, 90.00, 117.07 degrees
Last column: nearest neighbours and their distance in Å.
Fractional positions:
Cs 0.7499 0.4998 0.2502  2 Au 3.94, 6 I 3.99-4.05
Cs 0.2501 0.5002 0.7498  2 Au 3.94, 6 I 3.99-4.05
Au 0.0000 0.0000 0.0000  2 I 2.58
Au 0.5000 0.0000 0.5000  2 I 2.58
I 0.3556 0.7112 0.3645  1 Au 2.58
I 0.6444 0.2888 0.6355  1 Au 2.58
I 0.8555 0.7111 0.8646  1 Au 2.58
I 0.1445 0.2889 0.1354  1 Au 2.58

---

C | This record from Alexandria via LeMat-Bulk describes crystalline CsAuI2 at its relaxed geometry. The functional is GGA-PBE.

- Volume: 37.93 Å³/atom
- Space-group type: Fm-3m, No. 225
- Magnetic moment: 0.0 μB per formula unit

Cell lengths 5.9865, 5.9865, 5.9865 Å; angles 60.00, 60.00, 60.00 degrees
Last column: nearest neighbours and their distance in Å.
Fractional positions:
Cs 0.0000 0.0000 0.0000  8 I 3.67
I 0.2500 0.2500 0.2500  4 Au 3.67, 4 Cs 3.67
I 0.7500 0.7500 0.7500  4 Cs 3.67, 4 Au 3.67
Au 0.5000 0.5000 0.5000  8 I 3.67

---

D | This record from Alexandria via LeMat-Bulk describes crystalline CsAuI2 at its relaxed geometry. The functional is GGA-PBE.

- Volume: 51.90 Å³/atom
- Space-group type: P3_121, No. 152
- Magnetic moment: 0.0 μB per formula unit

Cell lengths 8.4218, 8.4218, 10.1394 Å; angles 90.00, 90.00, 120.00 degrees
Last column: nearest neighbours and their distance in Å.
Fractional positions:
Cs 0.3730 0.3730 0.0000  6 I 3.96-4.30
Cs 0.0000 0.6270 0.6667  6 I 3.96-4.30
Cs 0.6270 0.0000 0.3333  6 I 3.96-4.30
Au 0.2755 0.2755 0.5000  2 I 2.59
Au 0.0000 0.7245 0.1667  2 I 2.59
Au 0.7245 0.0000 0.8333  2 I 2.59
I 0.8699 0.2951 0.9747  1 Au 2.59
I 0.4252 0.1301 0.6414  1 Au 2.59
I 0.7049 0.5748 0.3080  1 Au 2.59
I 0.2951 0.8699 0.0253  1 Au 2.59
I 0.1301 0.4252 0.3586  1 Au 2.59
I 0.5748 0.7049 0.6920  1 Au 2.59

---

Last place for stability: C

---

A | This record from Alexandria via LeMat-Bulk describes crystalline CsAuIN2 at its relaxed geometry. The functional is GGA-PBE.

- Volume: 32.28 Å³/atom
- Space-group type: P4/mmm, No. 123
- Magnetic moment: 2.2 μB per formula unit

Cell lengths 4.4567, 4.4567, 8.1264 Å; angles 90.00, 90.00, 90.00 degrees
Last column: nearest neighbours and their distance in Å.
Fractional positions:
Cs 0.0000 0.0000 0.0000  4 N 2.23
I 0.0000 0.0000 0.5000  4 Au 3.15
Au 0.5000 0.5000 0.5000  4 I 3.15
N 0.0000 0.5000 0.0000  2 Cs 2.23
N 0.5000 0.0000 0.0000  2 Cs 2.23

---

B | This record from Alexandria via LeMat-Bulk describes crystalline CsAuIN2 at its relaxed geometry. The functional is GGA-PBE.

- Volume: 28.10 Å³/atom
- Space-group type: P4/mmm, No. 123
- Magnetic moment: 4.2 μB per formula unit

Cell lengths 4.7962, 4.7962, 6.1077 Å; angles 90.00, 90.00, 90.00 degrees
Last column: nearest neighbours and their distance in Å.
Fractional positions:
Cs 0.5000 0.5000 0.5000  4 I 3.39
I 0.0000 0.0000 0.5000  2 Au 3.05, 4 Cs 3.39
Au 0.0000 0.0000 0.0000  4 N 2.40
N 0.0000 0.5000 0.0000  2 Au 2.40
N 0.5000 0.0000 0.0000  2 Au 2.40

---

Last place for stability: A

---

A | This record from Alexandria via LeMat-Bulk describes crystalline CsAuI2N at its relaxed geometry. The functional is GGA-PBE.

- Volume: 35.46 Å³/atom
- Space-group type: P4/mmm, No. 123
- Magnetic moment: 0.0 μB per formula unit

Cell lengths 6.8561, 6.8561, 3.7720 Å; angles 90.00, 90.00, 90.00 degrees
Last column: nearest neighbours and their distance in Å.
Fractional positions:
Cs 0.5000 0.5000 0.5000  2 Cs 3.77, 8 I 3.91
I 0.0000 0.5000 0.0000  2 Au 3.43, 2 I 3.77
I 0.5000 0.0000 0.0000  2 Au 3.43, 2 I 3.77
Au 0.0000 0.0000 0.0000  2 N 1.89
N 0.0000 0.0000 0.5000  2 Au 1.89

---

B | This record from Alexandria via LeMat-Bulk describes crystalline CsAuI2N at its relaxed geometry. The functional is GGA-PBE.

- Volume: 48.27 Å³/atom
- Space-group type: P4/mmm, No. 123
- Magnetic moment: 2.4 μB per formula unit

Cell lengths 7.0121, 7.0121, 4.9081 Å; angles 90.00, 90.00, 90.00 degrees
Last column: nearest neighbours and their distance in Å.
Fractional positions:
Cs 0.0000 0.0000 0.0000  2 N 2.45
I 0.0000 0.5000 0.0000  2 Cs 3.51
I 0.5000 0.0000 0.0000  2 Cs 3.51
Au 0.5000 0.5000 0.5000  8 I 4.28
N 0.0000 0.0000 0.5000  2 Cs 2.45

---

Last place for stability: B

---

A | This record from Alexandria via LeMat-Bulk describes crystalline CsAuIO2 at its relaxed geometry. The functional is GGA-PBE.

- Volume: 30.45 Å³/atom
- Space-group type: P4/mmm, No. 123
- Magnetic moment: 0.2 μB per formula unit

Cell lengths 4.2792, 4.2792, 8.3154 Å; angles 90.00, 90.00, 90.00 degrees
Last column: nearest neighbours and their distance in Å.
Fractional positions:
Cs 0.0000 0.0000 0.0000  4 O 2.14
I 0.0000 0.0000 0.5000  4 Au 3.03
Au 0.5000 0.5000 0.5000  4 I 3.03
O 0.0000 0.5000 0.0000  2 Cs 2.14
O 0.5000 0.0000 0.0000  2 Cs 2.14

---

B | This record from Alexandria via LeMat-Bulk describes crystalline CsAuIO2 at its relaxed geometry. The functional is GGA-PBE.

- Volume: 24.57 Å³/atom
- Space-group type: P4/mmm, No. 123
- Magnetic moment: 0.5 μB per formula unit

Cell lengths 4.7303, 4.7303, 5.4910 Å; angles 90.00, 90.00, 90.00 degrees
Last column: nearest neighbours and their distance in Å.
Fractional positions:
Cs 0.5000 0.5000 0.5000  4 I 3.34, 8 O 3.62
I 0.0000 0.0000 0.5000  2 Au 2.75
Au 0.0000 0.0000 0.0000  4 O 2.37
O 0.0000 0.5000 0.0000  2 Au 2.37
O 0.5000 0.0000 0.0000  2 Au 2.37

---

Last place for stability: A